[1]
VASP calculation (GGA-PBE) on a geometry-optimized HoHg2Ge structure.

Structure (POSCAR):
```
HoHg2Ge
1.0
3.334 0.000 0.000
1.667 2.887 0.000
1.667 0.962 10.847
Ge Hg Ho
1 2 1
Direct
0.500 0.500 0.500
0.093 0.093 0.721
0.907 0.907 0.279
0.000 0.000 0.000
```

- E above lowest polymorph: 59.1 kJ/mol of atoms
- Crystal system: trigonal
- Calculated formation energy: 0.242 eV/atom
- Calculated density: 10.16 g/cm³
- SG: R-3m
- Size of the total moment: 0.0 μB/f.u.

---

[2]
VASP calculation (GGA-PBE) on a geometry-optimized Li2Sb2Rh3 structure.

Structure (POSCAR):
```
Li2Sb2Rh3
1.0
-1.997 -1.402 3.793
1.722 -2.962 -2.815
6.647 2.095 1.710
Sb Rh Li
2 3 2
Direct
0.181 0.588 0.782
0.819 0.412 0.218
0.539 0.267 0.815
0.000 0.000 0.000
0.461 0.733 0.185
0.725 0.861 0.594
0.275 0.139 0.406
```

- Crystal system: triclinic
- Raw formation energy: -481 meV/atom
- Calculated density: 8.03 g/cm³
- SG: P-1
- Size of the total moment: 0.0 μB/f.u.

---

[3]
VASP calculation (GGA-PBE) on a geometry-optimized NdTm4Te5 structure.

Structure (POSCAR):
```
NdTm4Te5
1.0
4.309 0.000 0.000
0.000 4.309 0.000
-2.155 -2.155 15.613
Tm Te Nd
4 5 1
Direct
0.594 0.594 0.188
0.790 0.790 0.581
0.406 0.406 0.812
0.210 0.210 0.419
0.694 0.694 0.387
0.306 0.306 0.613
0.106 0.106 0.212
0.894 0.894 0.788
0.500 0.500 0.000
0.000 0.000 0.000
```

- E above lowest polymorph: 0.0 kJ/mol of atoms
- Crystal system: tetragonal
- Raw formation energy: -1218 meV/atom
- Calculated density: 8.35 g/cm³
- SG: I4/mmm
- Size of the total moment: 0.0 μB/f.u.

---

> What is the formula in the first record?

HoHg2Ge

---

> Which value of size of the total moment does entry 2 give?

0.0 μB/f.u.